Entry from Alexandria via LeMat-Bulk: a geometry-optimized BeCuSn structure (GGA-PBE).

The formation energy is 377 meV per atom. The total magnetization is 0.000 μB/atom. Its calculated density is 6.427 g cm⁻³.

It has space group Amm2 (No. 38), with a = 10.1392 Å, b = 3.3029 Å, c = 5.9030 Å, α = 90.00°, β = 90.00° and γ = 90.00°. The distinct sites, in fractional coordinates, are Be at (0.1129, 0.0000, 0.0000), Cu at (0.0000, 0.0000, 0.6713), Cu at (0.5000, 0.0000, 0.6612) and Sn at (0.3019, 0.0000, 0.3314).